Record 1
Material: La2Zn2Sb
Method: DFT, GGA-PBEsol
State: optimized geometry

a = 5.639 Å, b = 5.639 Å, c = 5.639 Å
α = 116.79°, β = 116.79°, γ = 95.66°
Fractional positions:
La: 0.250 0.750 0.500
La: 0.750 0.250 0.500
Zn: 0.148 0.148 0.000
Zn: 0.852 0.852 0.000
Sb: 0.500 0.500 0.000

## Properties
Volume in Å³ per cell: 132.3
E_form (uncorrected) in kJ/mol of atoms: -26.9

Record 2
Material: ScHg2Os
Method: DFT, GGA-PBEsol
State: optimized geometry

a = 4.075 Å, b = 4.075 Å, c = 4.277 Å
α = 90.00°, β = 90.00°, γ = 90.00°
Fractional positions:
Sc: 0.000 0.000 0.000
Hg: 0.000 0.500 0.500
Hg: 0.500 0.000 0.500
Os: 0.500 0.500 0.000

## Properties
Energy of formation in meV/atom: 46
Volume in Å³ per cell: 71.0
E above lowest polymorph in kJ per mole of atoms: 0.00

Record 3
Material: AlAgHPb2
Method: DFT, GGA-PBEsol
State: optimized geometry

a = 5.360 Å, b = 5.360 Å, c = 4.809 Å
α = 90.00°, β = 90.00°, γ = 90.00°
Fractional positions:
Al: 0.000 0.000 0.000
Ag: 0.000 0.000 0.500
H: 0.500 0.500 0.500
Pb: 0.000 0.500 0.000
Pb: 0.500 0.000 0.000

## Properties
Raw total energy in eV per atom: -2.858
Volume in Å³ per cell: 138.2

Record 4
Material: MgCuWC2
Method: DFT, GGA-PBEsol
State: optimized geometry

a = 3.794 Å, b = 3.794 Å, c = 4.286 Å
α = 90.00°, β = 90.00°, γ = 90.00°
Fractional positions:
Mg: 0.000 0.000 0.000
Cu: 0.000 0.000 0.500
W: 0.500 0.500 0.000
C: 0.000 0.500 0.500
C: 0.500 0.000 0.500

## Properties
Energy of formation in meV/atom: 2426
Volume in Å³ per cell: 61.7

Record 5
Material: Cr2PRu
Method: DFT, GGA-PBEsol
State: optimized geometry

a = 4.087 Å, b = 4.087 Å, c = 2.819 Å
α = 90.00°, β = 90.00°, γ = 90.00°
Fractional positions:
Cr: 0.000 0.500 0.000
Cr: 0.500 0.000 0.000
P: 0.000 0.000 0.500
Ru: 0.500 0.500 0.500

## Properties
Energy of formation in meV/atom: 43
Volume in Å³ per cell: 47.1

Record 6
Material: CrPBr2
Method: DFT, GGA-PBEsol
State: optimized geometry

a = 3.469 Å, b = 3.469 Å, c = 7.543 Å
α = 90.00°, β = 90.00°, γ = 90.00°
Fractional positions:
Cr: 0.000 0.000 0.000
P: 0.500 0.500 0.968
Br: 0.000 0.000 0.305
Br: 0.500 0.500 0.669

## Properties
Volume in Å³ per cell: 90.8
E_form (uncorrected) in kJ/mol of atoms: -12.2
E above lowest polymorph in kJ per mole of atoms: 0.00

Record 7
Material: YSbRh2
Method: DFT, GGA-PBEsol
State: optimized geometry

a = 5.338 Å, b = 5.338 Å, c = 5.338 Å
α = 136.43°, β = 136.43°, γ = 63.32°
Fractional positions:
Y: 0.000 0.000 0.000
Sb: 0.250 0.750 0.500
Rh: 0.500 0.500 0.000
Rh: 0.750 0.250 0.500

## Properties
Volume in Å³ per cell: 71.3
E_form (uncorrected) in kJ/mol of atoms: -61.6

Record 8
Material: LiPdW3
Method: DFT, GGA-PBEsol
State: optimized geometry

a = 4.716 Å, b = 4.716 Å, c = 4.716 Å
α = 90.00°, β = 90.00°, γ = 90.00°
Fractional positions:
Li: 0.000 0.000 0.000
Pd: 0.500 0.500 0.500
W: 0.000 0.500 0.500
W: 0.500 0.000 0.500
W: 0.500 0.500 0.000

## Properties
Energy of formation in meV/atom: 2405
Volume in Å³ per cell: 104.9

Record 9
Material: SmZnCuP2
Method: DFT, GGA-PBEsol
State: optimized geometry

a = 3.954 Å, b = 3.954 Å, c = 6.530 Å
α = 90.00°, β = 90.00°, γ = 120.00°
Fractional positions:
Sm: 0.000 0.000 0.000
Zn: 0.333 0.667 0.386
Cu: 0.667 0.333 0.655
P: 0.333 0.667 0.751
P: 0.667 0.333 0.276

## Properties
Energy of formation in meV/atom: -783
Volume in Å³ per cell: 88.4

Record 10
Material: BaYTe4
Method: DFT, GGA-PBEsol
State: optimized geometry

a = 6.439 Å, b = 6.439 Å, c = 6.439 Å
α = 60.00°, β = 60.00°, γ = 60.00°
Fractional positions:
Ba: 0.000 0.000 0.000
Y: 0.750 0.750 0.750
Te: 0.376 0.376 0.376
Te: 0.376 0.376 0.873
Te: 0.376 0.873 0.376
Te: 0.873 0.376 0.376

## Properties
Volume in Å³ per cell: 188.8
E_form (uncorrected) in kJ/mol of atoms: -25.4

Record 11
Material: CdFeHg2
Method: DFT, GGA-PBEsol
State: optimized geometry

a = 6.570 Å, b = 6.570 Å, c = 6.570 Å
α = 154.63°, β = 139.38°, γ = 48.50°
Fractional positions:
Cd: 0.000 0.000 0.000
Fe: 0.194 0.694 0.500
Hg: 0.386 0.386 0.000
Hg: 0.686 0.186 0.500

## Properties
Energy of formation in meV/atom: 255
Volume in Å³ per cell: 78.8

Record 12
Material: SrIN2F
Method: DFT, GGA-PBEsol
State: optimized geometry

a = 4.152 Å, b = 4.152 Å, c = 4.617 Å
α = 90.00°, β = 90.00°, γ = 90.00°
Fractional positions:
Sr: 0.000 0.000 0.000
I: 0.500 0.500 0.500
N: 0.000 0.500 0.500
N: 0.500 0.000 0.500
F: 0.500 0.500 0.000

## Properties
Volume in Å³ per cell: 79.6
E_form (uncorrected) in kJ/mol of atoms: -4.6
E above lowest polymorph in kJ per mole of atoms: 0.00

Record 13
Material: AgBiO2
Method: DFT, GGA-PBEsol
State: optimized geometry

a = 3.639 Å, b = 3.639 Å, c = 12.623 Å
α = 90.00°, β = 90.00°, γ = 120.00°
Fractional positions:
Ag: 0.333 0.667 0.250
Ag: 0.667 0.333 0.750
Bi: 0.000 0.000 0.000
Bi: 0.000 0.000 0.500
O: 0.333 0.667 0.089
O: 0.333 0.667 0.411
O: 0.667 0.333 0.589
O: 0.667 0.333 0.911

## Properties
Volume in Å³ per cell: 144.8
E_form (uncorrected) in kJ/mol of atoms: -70.3

Record 14
Material: AlFeO3
Method: DFT, GGA-PBEsol
State: optimized geometry

a = 5.080 Å, b = 7.287 Å, c = 4.816 Å
α = 90.00°, β = 90.00°, γ = 90.00°
Fractional positions:
Al: 0.000 0.000 0.000
Al: 0.000 0.500 0.000
Al: 0.500 0.000 0.500
Al: 0.500 0.500 0.500
Fe: 0.057 0.250 0.474
Fe: 0.443 0.750 0.974
Fe: 0.557 0.250 0.026
Fe: 0.943 0.750 0.526
O: 0.058 0.750 0.139
O: 0.195 0.572 0.690
O: 0.195 0.928 0.690
O: 0.305 0.072 0.190
O: 0.305 0.428 0.190
O: 0.442 0.250 0.639
O: 0.558 0.750 0.361
O: 0.695 0.572 0.810
O: 0.695 0.928 0.810
O: 0.805 0.072 0.310
O: 0.805 0.428 0.310
O: 0.942 0.250 0.861

## Properties
Volume in Å³ per cell: 178.3
E_form (uncorrected) in kJ/mol of atoms: -195.3

Record 15
Material: Co5Mo
Method: DFT, GGA-PBEsol
State: optimized geometry

a = 4.341 Å, b = 4.341 Å, c = 3.974 Å
α = 90.00°, β = 90.00°, γ = 120.00°
Fractional positions:
Co: 0.000 0.649 0.000
Co: 0.333 0.667 0.500
Co: 0.351 0.351 0.000
Co: 0.649 0.000 0.000
Co: 0.667 0.333 0.500
Mo: 0.000 0.000 0.500

## Properties
Energy of formation in meV/atom: 1
Volume in Å³ per cell: 64.8

Record 16
Material: Li2Cu2F5
Method: DFT, GGA-PBEsol
State: optimized geometry

a = 2.927 Å, b = 6.753 Å, c = 9.423 Å
α = 93.57°, β = 91.24°, γ = 98.06°
Fractional positions:
Li: 0.128 0.149 0.164
Li: 0.266 0.594 0.625
Li: 0.734 0.406 0.375
Li: 0.872 0.851 0.836
Cu: 0.304 0.101 0.600
Cu: 0.306 0.617 0.095
Cu: 0.694 0.383 0.905
Cu: 0.696 0.899 0.400
F: 0.095 0.209 0.789
F: 0.226 0.332 0.514
F: 0.242 0.438 0.236
F: 0.361 0.798 0.959
F: 0.382 0.878 0.692
F: 0.618 0.122 0.308
F: 0.639 0.202 0.041
F: 0.758 0.562 0.764
F: 0.774 0.668 0.486
F: 0.905 0.791 0.211

## Properties
Volume in Å³ per cell: 184.0
E_form (uncorrected) in kJ/mol of atoms: -194.9
E above lowest polymorph in kJ per mole of atoms: 0.34

Record 17
Material: Mg2ReMo
Method: DFT, GGA-PBEsol
State: optimized geometry

a = 2.657 Å, b = 2.657 Å, c = 9.100 Å
α = 90.00°, β = 90.00°, γ = 90.00°
Fractional positions:
Mg: 0.000 0.000 0.247
Mg: 0.000 0.000 0.753
Re: 0.500 0.500 0.000
Mo: 0.500 0.500 0.500

## Properties
Energy of formation in meV/atom: 418
Volume in Å³ per cell: 64.3
E above lowest polymorph in kJ per mole of atoms: 15.04

Record 18
Material: Fe2CoNi
Method: DFT, GGA-PBEsol
State: optimized geometry

a = 2.408 Å, b = 2.408 Å, c = 7.657 Å
α = 90.00°, β = 90.00°, γ = 104.07°
Fractional positions:
Fe: 0.000 0.000 0.000
Fe: 0.500 0.500 0.256
Co: 0.000 0.000 0.507
Ni: 0.500 0.500 0.752

## Properties
Energy of formation in meV/atom: 46
Volume in Å³ per cell: 43.1
E above lowest polymorph in kJ per mole of atoms: 2.93

Record 19
Material: MnRuF3
Method: DFT, GGA-PBEsol
State: optimized geometry

a = 4.087 Å, b = 4.087 Å, c = 4.087 Å
α = 90.00°, β = 90.00°, γ = 90.00°
Fractional positions:
Mn: 0.000 0.000 0.000
Ru: 0.500 0.500 0.500
F: 0.000 0.000 0.500
F: 0.000 0.500 0.000
F: 0.500 0.000 0.000

## Properties
Volume in Å³ per cell: 68.3
E_form (uncorrected) in kJ/mol of atoms: -72.7

Record 20
Material: NdEuHg2
Method: DFT, GGA-PBEsol
State: optimized geometry

a = 5.336 Å, b = 5.336 Å, c = 5.336 Å
α = 60.00°, β = 60.00°, γ = 60.00°
Fractional positions:
Nd: 0.000 0.000 0.000
Eu: 0.500 0.500 0.500
Hg: 0.250 0.250 0.250
Hg: 0.750 0.750 0.750

## Properties
Energy of formation in meV/atom: -582
Volume in Å³ per cell: 107.4